A relaxed structure of ErSc3, computed with PBE.

Output
- E_tot (eV/atom) = -5.872
- energy of formation from the pure elements (eV per atom) = 0.018
- magnetization (μB per atom) = 0.000
- space group = No. 25
- energy relative to the lowest polymorph listed for this composition (kJ/mol of formula units) = 1

a b c (Å): 3.3874 5.2518 5.8532
angles (deg): 90.00 90.00 90.00
With the nearest neighbours (Å) after each atom.
Atoms (fractional coordinates):
1 Er 0.0000 0.0000 0.0000  10 Sc 3.28-3.40, 2 Er 3.39
2 Sc 0.0000 0.5000 0.6613  10 Sc 3.27-3.42, 2 Er 3.29
3 Sc 0.5000 0.0000 0.4972  8 Sc 3.25-3.39, 4 Er 3.37-3.40
4 Sc 0.5000 0.5000 0.1697  8 Sc 3.25-3.42, 4 Er 3.28